{
  "formula": "Be4Rh3",
  "functional": "PBE-GGA",
  "state": "optimized geometry",
  "lattice": [[-3.1754, 1.9981, 0.9083], [-3.0105, 0.0425, -2.4157], [-4.3962, -4.3120, 2.3188]],
  "species": ["Rh", "Rh", "Rh", "Be", "Be", "Be", "Be"],
  "fractional_positions": [[0.2372, 0.2372, 0.2884], [0.7628, 0.7628, 0.7116], [0.0000, 0.0000, 0.0000], [0.6232, 0.6232, 0.1305], [0.1204, 0.1204, 0.6389], [0.3768, 0.3768, 0.8695], [0.8796, 0.8796, 0.3611]],
  "de_polymorph_kcal_per_mol_atoms": 1.71,
  "total_energy_ev_per_cell": -39.667,
  "volume_a3_per_cell": 79.89,
  "dos_at_fermi_per_ev_cell": 3.02,
  "delta_e_f_mev_per_atom": -387
}